No. 1
Here is GeBr2 at its PBEsol-relaxed geometry from Alexandria via LeMat-Bulk. Energies are from meta-GGA SCAN.

The structure in CIF format:
```
data_GeBr2
_symmetry_space_group_name_H-M 'P 42/m n m'
_symmetry_Int_Tables_number 136
_symmetry_space_group_name_Hall '-P 4n 2n'
_cell_length_a 6.614
_cell_length_b 6.614
_cell_length_c 4.034
_cell_angle_alpha 90.00
_cell_angle_beta 90.00
_cell_angle_gamma 90.00
loop_
_atom_site_label
_atom_site_type_symbol
_atom_site_fract_x
_atom_site_fract_y
_atom_site_fract_z
_atom_site_occupancy
Ge1 Ge 0.000 0.000 0.000 1
Br1 Br 0.203 0.203 0.500 1
```

Calculated values
Uncorrected formation energy   -504 meV per atom

=====

No. 2
Here is LiCoB2O5 at its PBEsol-relaxed geometry from Alexandria via LeMat-Bulk. Energies are from meta-GGA SCAN.

The structure in CIF format:
```
data_LiCoB2O5
_symmetry_space_group_name_H-M 'C 1 2/c 1'
_symmetry_Int_Tables_number 15
_cell_length_a 10.162
_cell_length_b 10.131
_cell_length_c 9.456
_cell_angle_alpha 90.00
_cell_angle_beta 120.37
_cell_angle_gamma 90.00
loop_
_symmetry_equiv_pos_as_xyz
'x,y,z'
'-x,-y,-z'
'-x,y,-z+1/2'
'x,-y,z+1/2'
'x+1/2,y+1/2,z'
'-x+1/2,-y+1/2,-z'
'-x+1/2,y+1/2,-z+1/2'
'x+1/2,-y+1/2,z+1/2'
loop_
_atom_site_label
_atom_site_type_symbol
_atom_site_fract_x
_atom_site_fract_y
_atom_site_fract_z
_atom_site_occupancy
Li1 Li 0.000 0.103 0.250 1
Li2 Li 0.000 0.323 0.750 1
Co1 Co 0.197 0.339 0.146 1
B1 B 0.063 0.160 0.524 1
B2 B 0.232 0.490 0.899 1
O1 O 0.062 0.205 0.116 1
O2 O 0.108 0.202 0.678 1
O3 O 0.141 0.063 0.487 1
O4 O 0.156 0.482 0.236 1
O5 O 0.183 0.386 0.953 1
```

Calculated values
Uncorrected formation energy   -2124 meV per atom

=====

No. 3
Here is Ca2ScPt at its PBEsol-relaxed geometry from Alexandria via LeMat-Bulk. Energies are from meta-GGA SCAN.

The structure in CIF format:
```
data_Ca2ScPt
_symmetry_space_group_name_H-M 'P 4/m m m'
_symmetry_Int_Tables_number 123
_symmetry_space_group_name_Hall '-P 4 2'
_cell_length_a 4.287
_cell_length_b 4.287
_cell_length_c 4.956
_cell_angle_alpha 90.00
_cell_angle_beta 90.00
_cell_angle_gamma 90.00
loop_
_atom_site_label
_atom_site_type_symbol
_atom_site_fract_x
_atom_site_fract_y
_atom_site_fract_z
_atom_site_occupancy
Ca1 Ca 0.000 0.500 0.000 1
Sc1 Sc 0.000 0.000 0.500 1
Pt1 Pt 0.500 0.500 0.500 1
```

Calculated values
Formation energy from the elements   -0.345 eV/atom

=====

No. 4
Here is Ca2TlP at its PBEsol-relaxed geometry from Alexandria via LeMat-Bulk. Energies are from meta-GGA SCAN.

The structure in CIF format:
```
data_Ca2TlP
_symmetry_space_group_name_H-M 'I m m 2'
_symmetry_Int_Tables_number 44
_cell_length_a 3.746
_cell_length_b 4.524
_cell_length_c 12.433
_cell_angle_alpha 90.00
_cell_angle_beta 90.00
_cell_angle_gamma 90.00
loop_
_symmetry_equiv_pos_as_xyz
'x,y,z'
'-x,-y,z'
'-x,y,z'
'x,-y,z'
'x+1/2,y+1/2,z+1/2'
'-x+1/2,-y+1/2,z+1/2'
'-x+1/2,y+1/2,z+1/2'
'x+1/2,-y+1/2,z+1/2'
loop_
_atom_site_label
_atom_site_type_symbol
_atom_site_fract_x
_atom_site_fract_y
_atom_site_fract_z
_atom_site_occupancy
Ca1 Ca 0.000 0.000 0.000 1
Ca2 Ca 0.000 0.500 0.205 1
Tl1 Tl 0.000 0.000 0.386 1
P1 P 0.000 0.500 0.683 1
```

Calculated values
Formation energy from the elements   -0.682 eV/atom

=====

No. 5
Here is ScH3C3O6 at its PBEsol-relaxed geometry from Alexandria via LeMat-Bulk. Energies are from meta-GGA SCAN.

The structure in CIF format:
```
data_ScH3C3O6
_symmetry_space_group_name_H-M 'R -3 c'
_symmetry_Int_Tables_number 167
_symmetry_space_group_name_Hall '-R 3 2"c'
_cell_length_a 10.6483
_cell_length_b 10.6483
_cell_length_c 9.0656
_cell_angle_alpha 90.00
_cell_angle_beta 90.00
_cell_angle_gamma 120.00
loop_
_atom_site_label
_atom_site_type_symbol
_atom_site_fract_x
_atom_site_fract_y
_atom_site_fract_z
_atom_site_occupancy
Sc1 Sc 0.0000 0.0000 0.0000 1
H1 H 0.0000 0.3204 0.2500 1
C1 C 0.0000 0.2163 0.2500 1
O1 O 0.0171 0.1708 0.3728 1
```

Calculated values
Energy   -111.71 eV/f.u.

=====

No. 6
Here is MnTcNiMo2 at its PBEsol-relaxed geometry from Alexandria via LeMat-Bulk. Energies are from meta-GGA SCAN.

The structure in CIF format:
```
data_MnTcNiMo2
_symmetry_space_group_name_H-M 'P 4/m m m'
_symmetry_Int_Tables_number 123
_symmetry_space_group_name_Hall '-P 4 2'
_cell_length_a 4.324
_cell_length_b 4.324
_cell_length_c 4.291
_cell_angle_alpha 90.00
_cell_angle_beta 90.00
_cell_angle_gamma 90.00
loop_
_atom_site_label
_atom_site_type_symbol
_atom_site_fract_x
_atom_site_fract_y
_atom_site_fract_z
_atom_site_occupancy
Mn1 Mn 0.000 0.000 0.000 1
Tc1 Tc 0.000 0.000 0.500 1
Ni1 Ni 0.500 0.500 0.500 1
Mo1 Mo 0.000 0.500 0.000 1
```

Calculated values
Formation energy from the elements   1.364 eV/atom

=====

No. 7
Here is Li4VS4 at its PBEsol-relaxed geometry from Alexandria via LeMat-Bulk. Energies are from meta-GGA SCAN.

The structure in CIF format:
```
data_Li4VS4
_symmetry_space_group_name_H-M 'P n m a'
_symmetry_Int_Tables_number 62
_cell_length_a 14.139
_cell_length_b 7.684
_cell_length_c 5.973
_cell_angle_alpha 90.00
_cell_angle_beta 90.00
_cell_angle_gamma 90.00
loop_
_symmetry_equiv_pos_as_xyz
'x,y,z'
'-x,-y,-z'
'-x+1/2,-y,z+1/2'
'x+1/2,y,-z+1/2'
'x+1/2,-y+1/2,-z+1/2'
'-x+1/2,y+1/2,z+1/2'
'-x,y+1/2,-z'
'x,-y+1/2,z'
loop_
_atom_site_label
_atom_site_type_symbol
_atom_site_fract_x
_atom_site_fract_y
_atom_site_fract_z
_atom_site_occupancy
Li1 Li 0.000 0.000 0.000 1
Li2 Li 0.088 0.250 0.367 1
Li3 Li 0.177 0.003 0.800 1
V1 V 0.086 0.750 0.352 1
S1 S 0.062 0.250 0.767 1
S2 S 0.080 0.750 0.719 1
S3 S 0.156 0.515 0.223 1
```

Calculated values
Uncorrected formation energy   -1320 meV per atom

=====

No. 8
Here is Cd2AgCl at its PBEsol-relaxed geometry from Alexandria via LeMat-Bulk. Energies are from meta-GGA SCAN.

The structure in CIF format:
```
data_Cd2AgCl
_symmetry_space_group_name_H-M 'P 4 m m'
_symmetry_Int_Tables_number 99
_cell_length_a 3.169
_cell_length_b 3.169
_cell_length_c 7.911
_cell_angle_alpha 90.00
_cell_angle_beta 90.00
_cell_angle_gamma 90.00
loop_
_symmetry_equiv_pos_as_xyz
'x,y,z'
'-y,x,z'
'-x,-y,z'
'y,-x,z'
'-x,y,z'
'y,x,z'
'x,-y,z'
'-y,-x,z'
loop_
_atom_site_label
_atom_site_type_symbol
_atom_site_fract_x
_atom_site_fract_y
_atom_site_fract_z
_atom_site_occupancy
Cd1 Cd 0.000 0.000 0.000 1
Cd2 Cd 0.500 0.500 0.271 1
Ag1 Ag 0.500 0.500 0.768 1
Cl1 Cl 0.000 0.000 0.525 1
```

Calculated values
Uncorrected formation energy   -196 meV per atom

=====

No. 9
Here is Lu3Al at its PBEsol-relaxed geometry from Alexandria via LeMat-Bulk. Energies are from meta-GGA SCAN.

The structure in CIF format:
```
data_Lu3Al
_symmetry_space_group_name_H-M 'P 63/m m c'
_symmetry_Int_Tables_number 194
_symmetry_space_group_name_Hall '-P 6c 2c'
_cell_length_a 6.5475
_cell_length_b 6.5475
_cell_length_c 5.1619
_cell_angle_alpha 90.00
_cell_angle_beta 90.00
_cell_angle_gamma 120.00
loop_
_atom_site_label
_atom_site_type_symbol
_atom_site_fract_x
_atom_site_fract_y
_atom_site_fract_z
_atom_site_occupancy
Lu1 Lu 0.1726 0.3452 0.2500 1
Al1 Al 0.3333 0.6667 0.7500 1
```

Calculated values
Formation energy from the elements   -0.228 eV/atom

=====

No. 10
Here is La2TlPt at its PBEsol-relaxed geometry from Alexandria via LeMat-Bulk. Energies are from meta-GGA SCAN.

The structure in CIF format:
```
data_La2TlPt
_symmetry_space_group_name_H-M 'F m -3 m'
_symmetry_Int_Tables_number 225
_symmetry_space_group_name_Hall '-F 4 2 3'
_cell_length_a 7.514
_cell_length_b 7.514
_cell_length_c 7.514
_cell_angle_alpha 90.00
_cell_angle_beta 90.00
_cell_angle_gamma 90.00
loop_
_atom_site_label
_atom_site_type_symbol
_atom_site_fract_x
_atom_site_fract_y
_atom_site_fract_z
_atom_site_occupancy
La1 La 0.250 0.250 0.250 1
Tl1 Tl 0.000 0.000 0.000 1
Pt1 Pt 0.000 0.000 0.500 1
```

Calculated values
Formation energy from the elements   -0.831 eV/atom